1.
{
  "formula": "AcMgCdGe",
  "functional": "PBE",
  "state": "optimized geometry",
  "cell": [[-2.488, 4.651, -0.731], [-5.006, 0.637, 1.700], [-1.015, 3.159, 4.164]],
  "species": ["Ac", "Mg", "Ge", "Cd"],
  "frac_coords": [[0.000, 0.000, 0.000], [0.500, 0.500, 0.500], [0.250, 0.250, 0.250], [0.750, 0.750, 0.750]],
  "spacegroup": "F-43m (216)",
  "formation_energy_ev_per_atom": -0.2841
}

***

2.
{
  "formula": "Ac2MnCdGe6",
  "functional": "PBE",
  "state": "optimized geometry",
  "cell": [[6.393, 0.000, 0.000], [3.196, 5.536, 0.000], [3.196, 1.845, 12.885]],
  "species": ["Ge", "Ge", "Ge", "Ge", "Ge", "Ge", "Ge", "Ge", "Ge", "Ge", "Ge", "Ge", "Mn", "Mn", "Cd", "Cd", "Ac", "Ac", "Ac", "Ac"],
  "frac_coords": [[0.225, 0.652, 0.898], [0.931, 0.330, 0.410], [0.670, 0.670, 0.590], [0.348, 0.775, 0.102], [0.775, 0.775, 0.102], [0.652, 0.225, 0.898], [0.069, 0.670, 0.590], [0.330, 0.330, 0.410], [0.775, 0.348, 0.102], [0.670, 0.069, 0.590], [0.330, 0.931, 0.410], [0.225, 0.225, 0.898], [0.500, 0.500, 0.500], [0.000, 0.000, 0.000], [0.427, 0.427, 0.720], [0.573, 0.573, 0.280], [0.890, 0.890, 0.330], [0.286, 0.286, 0.143], [0.110, 0.110, 0.670], [0.714, 0.714, 0.857]],
  "spacegroup": "R-3m (166)",
  "formation_energy_ev_per_atom": -0.2545
}

***

3.
{
  "formula": "Ac2MnCd2Ge4",
  "functional": "PBE",
  "state": "optimized geometry",
  "cell": [[0.179, 6.387, -1.953], [-5.717, -3.435, -0.385], [0.506, -1.509, 6.489]],
  "species": ["Ac", "Ac", "Ge", "Ge", "Ge", "Ge", "Cd", "Cd", "Mn"],
  "frac_coords": [[0.500, 0.250, 0.750], [0.500, 0.750, 0.250], [0.452, 0.726, 0.726], [0.000, 0.274, 0.726], [0.000, 0.726, 0.274], [0.548, 0.274, 0.274], [0.000, 0.708, 0.708], [0.000, 0.292, 0.292], [0.000, 0.000, 0.000]],
  "spacegroup": "I4/mmm (139)",
  "formation_energy_ev_per_atom": -0.3375
}

***

4.
{
  "formula": "AcCd2GeN4",
  "functional": "PBE",
  "state": "optimized geometry",
  "cell": [[5.852, 0.000, 0.000], [2.926, 4.561, -0.710], [2.926, -0.200, 4.612]],
  "species": ["Ac", "Cd", "Cd", "N", "N", "N", "N", "Ge"],
  "frac_coords": [[0.000, 0.000, 0.000], [0.500, 0.750, 0.250], [0.500, 0.250, 0.750], [0.613, 0.554, 0.833], [0.000, 0.446, 0.167], [0.000, 0.833, 0.554], [0.387, 0.167, 0.446], [0.000, 0.500, 0.500]],
  "spacegroup": "I-42m (121)"
}

***

5.
{
  "formula": "AcNdCdGe",
  "functional": "PBE",
  "state": "optimized geometry",
  "cell": [[5.479, 0.000, 0.000], [2.739, 4.745, 0.000], [2.739, 1.582, 4.473]],
  "species": ["Cd", "Ac", "Ge", "Nd"],
  "frac_coords": [[0.750, 0.750, 0.750], [0.000, 0.000, 0.000], [0.250, 0.250, 0.250], [0.500, 0.500, 0.500]],
  "spacegroup": "F-43m (216)",
  "formation_energy_ev_per_atom": -0.4244
}

***

6.
{
  "formula": "Ac2CdNi4Ge3",
  "functional": "PBE",
  "state": "optimized geometry",
  "cell": [[-1.760, 3.926, -0.469], [-3.723, -1.474, 1.641], [3.116, 2.512, 9.327]],
  "species": ["Ge", "Ge", "Ge", "Ac", "Ac", "Ni", "Ni", "Ni", "Ni", "Cd"],
  "frac_coords": [[0.000, 0.500, 0.117], [0.000, 0.000, 0.500], [0.500, 0.000, 0.883], [0.500, 0.000, 0.241], [0.000, 0.500, 0.759], [0.000, 0.000, 0.000], [0.000, 0.500, 0.357], [0.500, 0.500, 0.000], [0.500, 0.000, 0.643], [0.500, 0.500, 0.500]],
  "spacegroup": "P-4m2 (115)",
  "formation_energy_ev_per_atom": -0.5116
}

***

7.
{
  "formula": "AcCd2GeO6",
  "functional": "PBE",
  "state": "optimized geometry",
  "cell": [[-4.462, -3.522, 0.217], [-0.595, -4.082, -3.917], [0.978, -5.731, 1.692]],
  "species": ["Ac", "Cd", "Cd", "O", "O", "O", "O", "O", "O", "Ge"],
  "frac_coords": [[0.804, 0.804, 0.589], [0.018, 0.018, 0.945], [0.538, 0.538, 0.386], [0.151, 0.388, 0.786], [0.980, 0.560, 0.234], [0.675, 0.151, 0.786], [0.226, 0.980, 0.234], [0.560, 0.226, 0.234], [0.388, 0.675, 0.786], [0.322, 0.322, 0.035]],
  "spacegroup": "R3 (146)"
}

***

8.
{
  "formula": "Ac2CdGeO6",
  "functional": "PBE",
  "state": "optimized geometry",
  "cell": [[4.872, 0.000, 0.000], [0.000, 5.615, 0.000], [0.000, 0.000, 5.615]],
  "species": ["O", "O", "O", "O", "O", "O", "Cd", "Ge", "Ac", "Ac"],
  "frac_coords": [[0.715, 0.227, 0.227], [0.715, 0.773, 0.773], [0.715, 0.773, 0.227], [0.715, 0.227, 0.773], [0.124, 0.500, 0.500], [0.230, 0.000, 0.000], [0.569, 0.500, 0.500], [0.600, 0.000, 0.000], [0.032, 0.000, 0.500], [0.032, 0.500, 0.000]],
  "spacegroup": "P4mm (99)"
}

***

9.
{
  "formula": "AcCdGePb",
  "functional": "PBE",
  "state": "optimized geometry",
  "cell": [[-0.250, -3.081, -4.505], [4.504, -0.869, -2.969], [2.321, -4.946, -0.060]],
  "species": ["Ge", "Ac", "Pb", "Cd"],
  "frac_coords": [[0.250, 0.250, 0.250], [0.500, 0.500, 0.500], [0.000, 0.000, 0.000], [0.750, 0.750, 0.750]],
  "spacegroup": "F-43m (216)",
  "formation_energy_ev_per_atom": -0.2301
}

***

10.
{
  "formula": "AcCdGePd6",
  "functional": "PBE",
  "state": "optimized geometry",
  "cell": [[6.720, 0.000, 0.000], [0.000, 9.551, 0.000], [-3.360, -4.776, 5.710]],
  "species": ["Pd", "Pd", "Pd", "Pd", "Pd", "Pd", "Pd", "Pd", "Pd", "Pd", "Pd", "Pd", "Ge", "Ge", "Cd", "Cd", "Ac", "Ac"],
  "frac_coords": [[0.086, 0.879, 0.748], [0.086, 0.369, 0.748], [0.446, 0.696, 0.892], [0.554, 0.304, 0.108], [0.939, 0.189, 0.879], [0.061, 0.811, 0.121], [0.914, 0.121, 0.252], [0.914, 0.631, 0.252], [0.662, 0.369, 0.748], [0.338, 0.121, 0.252], [0.338, 0.631, 0.252], [0.662, 0.879, 0.748], [0.500, 0.500, 0.000], [0.500, 0.000, 0.000], [0.000, 0.000, 0.500], [0.500, 0.000, 0.500], [0.188, 0.438, 0.375], [0.812, 0.562, 0.625]],
  "spacegroup": "Imma (74)",
  "formation_energy_ev_per_atom": -0.2973
}

***

11.
{
  "formula": "AcCd2GePd4",
  "functional": "PBE",
  "state": "optimized geometry",
  "cell": [[-0.609, 3.943, 2.250], [0.444, 0.129, 4.557], [8.654, 3.216, 1.368]],
  "species": ["Pd", "Pd", "Pd", "Pd", "Cd", "Cd", "Ge", "Ac"],
  "frac_coords": [[0.595, 0.595, 0.215], [0.135, 0.135, 0.594], [0.405, 0.405, 0.785], [0.865, 0.865, 0.406], [0.242, 0.242, 0.275], [0.758, 0.758, 0.725], [0.500, 0.500, 0.500], [0.000, 0.000, 0.000]],
  "spacegroup": "R-3m (166)",
  "formation_energy_ev_per_atom": -0.4804
}

***

12.
{
  "formula": "AcCdGePd",
  "functional": "PBE",
  "state": "optimized geometry",
  "cell": [[-0.345, -4.641, -2.160], [3.820, -1.749, -2.945], [2.976, -3.833, 1.667]],
  "species": ["Ge", "Pd", "Cd", "Ac"],
  "frac_coords": [[0.000, 0.000, 0.000], [0.500, 0.500, 0.500], [0.250, 0.250, 0.250], [0.750, 0.750, 0.750]],
  "spacegroup": "F-43m (216)",
  "formation_energy_ev_per_atom": -0.4308
}

***

13.
{
  "formula": "Ac2CdGePd6",
  "functional": "PBE",
  "state": "optimized geometry",
  "cell": [[5.643, -0.017, -0.011], [0.026, 8.760, 0.204], [2.842, 4.594, 4.567]],
  "species": ["Pd", "Pd", "Pd", "Pd", "Pd", "Pd", "Cd", "Ac", "Ac", "Ge"],
  "frac_coords": [[0.246, 0.730, 0.008], [0.251, 0.093, 0.498], [0.748, 0.730, 0.007], [0.252, 0.270, 0.993], [0.754, 0.270, 0.992], [0.749, 0.907, 0.502], [0.000, 0.000, 0.000], [0.253, 0.725, 0.495], [0.747, 0.275, 0.505], [0.500, 0.500, 0.000]],
  "spacegroup": "C2/m (12)",
  "formation_energy_ev_per_atom": -0.6627
}

***

14.
{
  "formula": "AcCdGe2Pd5",
  "functional": "PBE",
  "state": "optimized geometry",
  "cell": [[4.455, 0.000, 0.000], [0.000, 4.455, 0.000], [0.000, 0.000, 8.740]],
  "species": ["Pd", "Pd", "Pd", "Pd", "Pd", "Ge", "Ge", "Cd", "Ac"],
  "frac_coords": [[0.500, 0.000, 0.256], [0.000, 0.500, 0.256], [0.000, 0.500, 0.744], [0.500, 0.500, 0.500], [0.500, 0.000, 0.744], [0.500, 0.500, 0.137], [0.500, 0.500, 0.863], [0.000, 0.000, 0.000], [0.000, 0.000, 0.500]],
  "spacegroup": "P4/mmm (123)",
  "formation_energy_ev_per_atom": -0.4985
}

***

15.
{
  "formula": "Ac3CdGe2Pd9",
  "functional": "PBE",
  "state": "optimized geometry",
  "cell": [[6.133, 0.000, 0.000], [-3.067, 5.311, 0.000], [0.000, 0.000, 10.890]],
  "species": ["Cd", "Ac", "Ac", "Ac", "Pd", "Pd", "Pd", "Pd", "Pd", "Pd", "Pd", "Pd", "Pd", "Ge", "Ge"],
  "frac_coords": [[0.000, 0.000, 0.500], [0.333, 0.667, 0.718], [0.000, 0.000, 0.000], [0.667, 0.333, 0.282], [0.000, 0.500, 0.000], [0.150, 0.850, 0.292], [0.850, 0.700, 0.708], [0.700, 0.850, 0.292], [0.500, 0.500, 0.000], [0.150, 0.300, 0.292], [0.500, 0.000, 0.000], [0.300, 0.150, 0.708], [0.850, 0.150, 0.708], [0.667, 0.333, 0.839], [0.333, 0.667, 0.161]],
  "spacegroup": "P-3m1 (164)",
  "formation_energy_ev_per_atom": -0.5997
}

***

16.
{
  "formula": "AcCd2Ge2Pd",
  "functional": "PBE",
  "state": "optimized geometry",
  "cell": [[5.325, 0.000, 0.000], [0.000, 5.325, 0.000], [-2.663, -2.663, 5.667]],
  "species": ["Cd", "Cd", "Pd", "Ge", "Ge", "Ac"],
  "frac_coords": [[0.750, 0.250, 0.500], [0.250, 0.750, 0.500], [0.000, 0.000, 0.000], [0.790, 0.790, 0.581], [0.210, 0.210, 0.419], [0.500, 0.500, 0.000]],
  "spacegroup": "I4/mmm (139)",
  "formation_energy_ev_per_atom": -0.0917
}

***

17.
{
  "formula": "AcCdGe2Pd",
  "functional": "PBE",
  "state": "optimized geometry",
  "cell": [[-3.705, -0.120, -2.499], [2.408, -1.379, -3.505], [-0.190, -4.519, 4.498]],
  "species": ["Pd", "Ge", "Ge", "Cd", "Ac"],
  "frac_coords": [[0.750, 0.250, 0.500], [0.385, 0.385, 0.769], [0.615, 0.615, 0.231], [0.250, 0.750, 0.500], [0.000, 0.000, 0.000]],
  "spacegroup": "I-4m2 (119)",
  "formation_energy_ev_per_atom": -0.5995
}

***

18.
{
  "formula": "Ac2CdGe3Pd4",
  "functional": "PBE",
  "state": "optimized geometry",
  "cell": [[4.475, 0.000, 0.000], [0.000, 4.475, 0.000], [0.000, 0.000, 10.652]],
  "species": ["Cd", "Pd", "Pd", "Pd", "Pd", "Ge", "Ge", "Ge", "Ac", "Ac"],
  "frac_coords": [[0.500, 0.500, 0.500], [0.000, 0.000, 0.000], [0.500, 0.500, 0.000], [0.500, 0.000, 0.644], [0.000, 0.500, 0.356], [0.000, 0.500, 0.120], [0.500, 0.000, 0.880], [0.000, 0.000, 0.500], [0.500, 0.000, 0.244], [0.000, 0.500, 0.756]],
  "spacegroup": "P-4m2 (115)",
  "formation_energy_ev_per_atom": -0.7620
}

***

19.
{
  "formula": "AcCd2GePd2",
  "functional": "PBE",
  "state": "optimized geometry",
  "cell": [[5.244, 0.000, 0.000], [0.000, 5.244, 0.000], [-2.622, -2.622, 5.560]],
  "species": ["Pd", "Pd", "Cd", "Cd", "Ac", "Ge"],
  "frac_coords": [[0.213, 0.213, 0.425], [0.787, 0.787, 0.575], [0.250, 0.750, 0.500], [0.750, 0.250, 0.500], [0.500, 0.500, 0.000], [0.000, 0.000, 0.000]],
  "spacegroup": "I4/mmm (139)",
  "formation_energy_ev_per_atom": -0.3166
}

***

20.
{
  "formula": "AcPmCdGe",
  "functional": "PBE",
  "state": "optimized geometry",
  "cell": [[-1.891, -0.077, -5.122], [-5.135, -1.571, -0.991], [-3.718, 3.668, -1.593]],
  "species": ["Pm", "Ge", "Cd", "Ac"],
  "frac_coords": [[0.500, 0.500, 0.500], [0.750, 0.750, 0.750], [0.250, 0.250, 0.250], [0.000, 0.000, 0.000]],
  "spacegroup": "F-43m (216)",
  "formation_energy_ev_per_atom": -0.4219
}

***

21.
{
  "formula": "AcPrCdGe",
  "functional": "PBE",
  "state": "optimized geometry",
  "cell": [[5.496, 0.000, 0.000], [2.748, 4.760, 0.000], [2.748, 1.587, 4.487]],
  "species": ["Ge", "Cd", "Ac", "Pr"],
  "frac_coords": [[0.250, 0.250, 0.250], [0.750, 0.750, 0.750], [0.500, 0.500, 0.500], [0.000, 0.000, 0.000]],
  "spacegroup": "F-43m (216)",
  "formation_energy_ev_per_atom": -0.4272
}

***

22.
{
  "formula": "Ac2CdGePt6",
  "functional": "PBE",
  "state": "optimized geometry",
  "cell": [[6.666, -0.232, -0.902], [-0.548, 6.980, 1.273], [2.231, 4.227, 5.263]],
  "species": ["Pt", "Pt", "Pt", "Pt", "Pt", "Pt", "Ac", "Ac", "Ge", "Cd"],
  "frac_coords": [[0.901, 0.747, 0.851], [0.739, 0.253, 0.018], [0.261, 0.747, 0.982], [0.099, 0.253, 0.149], [0.740, 0.761, 0.512], [0.260, 0.239, 0.488], [0.283, 0.746, 0.461], [0.717, 0.254, 0.539], [0.500, 0.500, 0.000], [0.000, 0.000, 0.000]],
  "spacegroup": "P-1 (2)",
  "formation_energy_ev_per_atom": -0.7795
}

***

23.
{
  "formula": "AcCdGePt",
  "functional": "PBE",
  "state": "optimized geometry",
  "cell": [[-2.521, 3.782, -2.367], [-4.414, 1.741, 1.936], [-0.207, 4.661, 2.120]],
  "species": ["Pt", "Cd", "Ac", "Ge"],
  "frac_coords": [[0.500, 0.500, 0.500], [0.750, 0.750, 0.750], [0.250, 0.250, 0.250], [0.000, 0.000, 0.000]],
  "spacegroup": "F-43m (216)",
  "formation_energy_ev_per_atom": -0.4560
}

***

24.
{
  "formula": "Ac3CdGe6Pt2",
  "functional": "PBE",
  "state": "optimized geometry",
  "cell": [[-5.866, -2.268, 0.757], [4.893, -2.865, 2.826], [-1.050, 5.020, 6.907]],
  "species": ["Ac", "Ac", "Ac", "Ge", "Ge", "Ge", "Ge", "Ge", "Ge", "Cd", "Pt", "Pt"],
  "frac_coords": [[0.667, 0.333, 0.352], [0.333, 0.667, 0.648], [0.000, 0.000, 0.000], [0.802, 0.198, 0.721], [0.396, 0.198, 0.721], [0.198, 0.802, 0.279], [0.802, 0.604, 0.721], [0.604, 0.802, 0.279], [0.198, 0.396, 0.279], [0.000, 0.000, 0.500], [0.333, 0.667, 0.027], [0.667, 0.333, 0.973]],
  "spacegroup": "P-3m1 (164)",
  "formation_energy_ev_per_atom": -0.3807
}

***

Number 1: VASP energy -12.37 eV/cell, spin magnetization 0.00 μB per cell. Number 2: VASP energy -97.10 eV/cell, spin magnetization 4.28 μB per cell. Number 3: VASP energy -40.72 eV/cell, spin magnetization 3.32 μB per cell. Number 4: VASP energy -44.25 eV/cell, spin magnetization 0.00 μB per cell. Number 5: VASP energy -16.11 eV/cell, spin magnetization 0.00 μB per cell. Number 6: VASP energy -51.23 eV/cell, spin magnetization 0.00 μB per cell. Number 7: VASP energy -56.64 eV/cell, spin magnetization 1.08 μB per cell. Number 8: VASP energy -67.25 eV/cell, spin magnetization 0.00 μB per cell. Number 9: VASP energy -14.27 eV/cell, spin magnetization 0.00 μB per cell. Number 10: VASP energy -86.95 eV/cell, spin magnetization 0.00 μB per cell. Number 11: VASP energy -35.17 eV/cell, spin magnetization 0.00 μB per cell. Number 12: VASP energy -16.56 eV/cell, spin magnetization 0.00 μB per cell. Number 13: VASP energy -51.53 eV/cell, spin magnetization 0.00 μB per cell. Number 14: VASP energy -44.71 eV/cell, spin magnetization 0.00 μB per cell. Number 15: VASP energy -78.21 eV/cell, spin magnetization 0.00 μB per cell. Number 16: VASP energy -20.92 eV/cell, spin magnetization 0.00 μB per cell. Number 17: VASP energy -22.45 eV/cell, spin magnetization 0.00 μB per cell. Number 18: VASP energy -51.38 eV/cell, spin magnetization 0.00 μB per cell. Number 19: VASP energy -22.84 eV/cell, spin magnetization 0.00 μB per cell. Number 20: VASP energy -16.08 eV/cell, spin magnetization 0.00 μB per cell. Number 21: VASP energy -16.13 eV/cell, spin magnetization 0.00 μB per cell. Number 22: VASP energy -57.79 eV/cell, spin magnetization 0.00 μB per cell. Number 23: VASP energy -17.51 eV/cell, spin magnetization 0.00 μB per cell. Number 24: VASP energy -57.59 eV/cell, spin magnetization 0.00 μB per cell.